# 1
The following is a DFT calculation (GGA-PBEsol) of crystalline CoNiAs2S2 at its relaxed geometry.

```
CoNiAs2S2
1.0
5.5508 0.0000 0.0000
0.0000 5.5570 0.0000
-0.0286 0.0000 5.5540
Co Ni As S
2 2 4 4
Direct
0.0072 0.0000 0.2588 Co
0.9928 0.5000 0.7412 Co
0.4907 0.0170 0.7583 Ni
0.5093 0.5170 0.2417 Ni
0.1181 0.3828 0.1252 As
0.3733 0.6291 0.6294 As
0.6267 0.1291 0.3706 As
0.8819 0.8828 0.8748 As
0.1136 0.1299 0.6282 S
0.3751 0.8917 0.1339 S
0.6249 0.3917 0.8661 S
0.8864 0.6299 0.3718 S
```

Values from the calculation:
E_form (uncorrected), eV/atom: -0.4704
Energy, eV for the cell shown: -71.40
SG: P2_1, No. 4
D(E_F), states/eV/atom: 0.64


# 2
The following is a DFT calculation (GGA-PBEsol) of crystalline CoNiAs2Se at its relaxed geometry.

```
CoNiAs2Se
1.0
4.4212 0.0000 0.0000
0.0000 4.4212 0.0000
0.0000 0.0000 4.7540
Co Ni As Se
1 1 2 1
Direct
0.0000 0.0000 0.0000 Co
0.5000 0.5000 0.5000 Ni
0.0000 0.5000 0.5000 As
0.5000 0.0000 0.5000 As
0.5000 0.5000 0.0000 Se
```

Values from the calculation:
Distance to the lowest polymorph of the same formula, eV per atom: 0.146
E_form (uncorrected), eV/atom: 0.7907
Energy, eV for the cell shown: -24.00
SG: P4/mmm, No. 123
D(E_F), states/eV/atom: 1.13